Record 1
Here is a relaxed Ac4Sb2Cl crystal from Alexandria. Energies are from PBE-GGA.

a b c (Å): 5.509 5.509 17.293
angles (deg): 90.00 90.00 90.00
Fractional coordinates of all 14 atoms:
1 Ac 0.000 0.000 0.176
2 Ac 0.000 0.000 0.824
3 Ac 0.000 0.500 0.000
4 Ac 0.000 0.500 0.500
5 Ac 0.500 0.000 0.000
6 Ac 0.500 0.000 0.500
7 Ac 0.500 0.500 0.324
8 Ac 0.500 0.500 0.676
9 Sb 0.000 0.000 0.369
10 Sb 0.000 0.000 0.631
11 Sb 0.500 0.500 0.131
12 Sb 0.500 0.500 0.869
13 Cl 0.000 0.000 0.000
14 Cl 0.500 0.500 0.500

As for the energy relative to the elements, uncorrected: -0.787 eV/atom. For the density of states at the Fermi level, the calculation gives 8.29 states/eV/f.u. The space-group type is I4/mmm (139). The total energy is -0.3363 Ry per atom.

***

Record 2
Here is a relaxed AcSbCl crystal from Alexandria. Energies are from PBE-GGA.

a b c (Å): 5.135 5.135 4.146
angles (deg): 90.00 90.00 120.00
Fractional coordinates of all 3 atoms:
1 Ac 0.000 0.000 0.000
2 Sb 0.333 0.667 0.500
3 Cl 0.667 0.333 0.000

As for the energy relative to the elements, uncorrected: -1.242 eV/atom. Its distance to the lowest polymorph of the same formula is 310 meV/atom. For the density of states at the Fermi level, the calculation gives 3.23 states/eV/f.u. The space-group type is P-6m2 (187). The total energy is -0.3382 Ry per atom.

***

Record 3
Here is a relaxed Ac2SbCl crystal from Alexandria. Energies are from PBE-GGA.

a b c (Å): 4.684 4.684 21.406
angles (deg): 90.00 90.00 120.00
Fractional coordinates of all 12 atoms:
1 Ac 0.000 0.000 0.246
2 Ac 0.000 0.000 0.754
3 Ac 0.333 0.667 0.421
4 Ac 0.333 0.667 0.912
5 Ac 0.667 0.333 0.088
6 Ac 0.667 0.333 0.579
7 Sb 0.000 0.000 0.000
8 Sb 0.333 0.667 0.667
9 Sb 0.667 0.333 0.333
10 Cl 0.000 0.000 0.500
11 Cl 0.333 0.667 0.167
12 Cl 0.667 0.333 0.833

As for the energy relative to the elements, uncorrected: -1.333 eV/atom. Its distance to the lowest polymorph of the same formula is 0 meV/atom. For the density of states at the Fermi level, the calculation gives 2.38 states/eV/f.u. The space-group type is R-3m (166). The total energy is -0.3587 Ry per atom.

***

Record 4
Here is a relaxed AcSbCl crystal from Alexandria. Energies are from PBE-GGA.

a b c (Å): 4.652 6.241 8.260
angles (deg): 111.29 90.40 111.00
Fractional coordinates of all 6 atoms:
1 Ac 0.180 0.363 0.214
2 Ac 0.820 0.637 0.786
3 Sb 0.470 0.901 0.133
4 Sb 0.530 0.099 0.867
5 Cl 0.174 0.337 0.577
6 Cl 0.826 0.663 0.423

As for the energy relative to the elements, uncorrected: -1.552 eV/atom. Its distance to the lowest polymorph of the same formula is 0 meV/atom. For the density of states at the Fermi level, the calculation gives 0.04 states/eV/f.u. The space-group type is P-1 (2). The total energy is -0.3610 Ry per atom.

***

Record 5
Here is a relaxed AcSbCl crystal from Alexandria. Energies are from PBE-GGA.

a b c (Å): 3.935 3.935 11.989
angles (deg): 90.00 90.00 90.00
Fractional coordinates of all 6 atoms:
1 Ac 0.000 0.000 0.000
2 Ac 0.500 0.500 0.500
3 Sb 0.000 0.000 0.313
4 Sb 0.500 0.500 0.813
5 Cl 0.000 0.000 0.612
6 Cl 0.500 0.500 0.112

As for the energy relative to the elements, uncorrected: -1.171 eV/atom. Its distance to the lowest polymorph of the same formula is 382 meV/atom. For the density of states at the Fermi level, the calculation gives 1.65 states/eV/f.u. The space-group type is I4mm (107). The total energy is -0.3329 Ry per atom.

***

Record 6
Here is a relaxed Ac6Sb5Cl crystal from Alexandria. Energies are from PBE-GGA.

a b c (Å): 9.162 9.162 8.121
angles (deg): 90.04 90.04 143.60
Fractional coordinates of all 12 atoms:
1 Ac 0.000 0.000 0.241
2 Ac 0.000 0.000 0.759
3 Ac 0.328 0.670 0.245
4 Ac 0.330 0.672 0.755
5 Ac 0.670 0.328 0.245
6 Ac 0.672 0.330 0.755
7 Sb 0.159 0.841 0.500
8 Sb 0.167 0.833 0.000
9 Sb 0.500 0.500 0.000
10 Sb 0.833 0.167 0.000
11 Sb 0.841 0.159 0.500
12 Cl 0.500 0.500 0.500

As for the energy relative to the elements, uncorrected: -1.088 eV/atom. For the density of states at the Fermi level, the calculation gives 7.32 states/eV/f.u. The space-group type is C2/m (12). The total energy is -0.3685 Ry per atom.

***

Record 7
Here is a relaxed Ac2SbCl crystal from Alexandria. Energies are from PBE-GGA.

a b c (Å): 7.949 7.949 7.949
angles (deg): 90.00 90.00 90.00
Fractional coordinates of all 16 atoms:
1 Ac 0.250 0.250 0.250
2 Ac 0.250 0.250 0.750
3 Ac 0.250 0.750 0.250
4 Ac 0.250 0.750 0.750
5 Ac 0.750 0.250 0.250
6 Ac 0.750 0.250 0.750
7 Ac 0.750 0.750 0.250
8 Ac 0.750 0.750 0.750
9 Sb 0.000 0.000 0.000
10 Sb 0.000 0.500 0.500
11 Sb 0.500 0.000 0.500
12 Sb 0.500 0.500 0.000
13 Cl 0.000 0.000 0.500
14 Cl 0.000 0.500 0.000
15 Cl 0.500 0.000 0.000
16 Cl 0.500 0.500 0.500

As for the energy relative to the elements, uncorrected: -1.240 eV/atom. Its distance to the lowest polymorph of the same formula is 94 meV/atom. For the density of states at the Fermi level, the calculation gives 3.38 states/eV/f.u. The space-group type is Fm-3m (225). The total energy is -0.3518 Ry per atom.

***

Record 8
Here is a relaxed Ac2SbCl crystal from Alexandria. Energies are from PBE-GGA.

a b c (Å): 4.040 4.040 7.780
angles (deg): 90.00 90.00 90.00
Fractional coordinates of all 4 atoms:
1 Ac 0.000 0.000 0.240
2 Ac 0.000 0.000 0.760
3 Sb 0.500 0.500 0.000
4 Cl 0.500 0.500 0.500

As for the energy relative to the elements, uncorrected: -1.157 eV/atom. Its distance to the lowest polymorph of the same formula is 176 meV/atom. For the density of states at the Fermi level, the calculation gives 3.07 states/eV/f.u. The space-group type is P4/mmm (123). The total energy is -0.3457 Ry per atom.

***

Record 9
Here is a relaxed Ac6Si2SbCl3 crystal from Alexandria. Energies are from PBE-GGA.

a b c (Å): 10.010 10.010 8.945
angles (deg): 99.17 99.17 26.56
Fractional coordinates of all 12 atoms:
1 Ac 0.009 0.009 0.263
2 Ac 0.328 0.328 0.893
3 Ac 0.329 0.329 0.426
4 Ac 0.671 0.671 0.574
5 Ac 0.672 0.672 0.107
6 Ac 0.991 0.991 0.737
7 Si 0.168 0.168 0.336
8 Si 0.832 0.832 0.664
9 Sb 0.500 0.500 0.000
10 Cl 0.163 0.163 0.835
11 Cl 0.500 0.500 0.500
12 Cl 0.837 0.837 0.165

As for the energy relative to the elements, uncorrected: -1.226 eV/atom. For the density of states at the Fermi level, the calculation gives 5.77 states/eV/f.u. The space-group type is C2/m (12). The total energy is -0.3667 Ry per atom.

***

Record 10
Here is a relaxed Ac4SiSb2Cl crystal from Alexandria. Energies are from PBE-GGA.

a b c (Å): 8.031 4.683 8.039
angles (deg): 90.00 109.32 90.00
Fractional coordinates of all 8 atoms:
1 Ac 0.237 0.000 0.236
2 Ac 0.238 0.500 0.754
3 Ac 0.762 0.500 0.246
4 Ac 0.763 0.000 0.764
5 Si 0.000 0.500 0.000
6 Sb 0.000 0.000 0.500
7 Sb 0.500 0.500 0.500
8 Cl 0.500 0.000 0.000

As for the energy relative to the elements, uncorrected: -1.159 eV/atom. For the density of states at the Fermi level, the calculation gives 2.25 states/eV/f.u. The space-group type is P2/m (10). The total energy is -0.3787 Ry per atom.

***

Record 11
Here is a relaxed AcTlSbCl crystal from Alexandria. Energies are from PBE-GGA.

a b c (Å): 7.925 7.925 7.925
angles (deg): 90.00 90.00 90.00
Fractional coordinates of all 16 atoms:
1 Ac 0.000 0.000 0.000
2 Ac 0.000 0.500 0.500
3 Ac 0.500 0.000 0.500
4 Ac 0.500 0.500 0.000
5 Tl 0.000 0.000 0.500
6 Tl 0.000 0.500 0.000
7 Tl 0.500 0.000 0.000
8 Tl 0.500 0.500 0.500
9 Sb 0.250 0.250 0.250
10 Sb 0.250 0.750 0.750
11 Sb 0.750 0.250 0.750
12 Sb 0.750 0.750 0.250
13 Cl 0.250 0.250 0.750
14 Cl 0.250 0.750 0.250
15 Cl 0.750 0.250 0.250
16 Cl 0.750 0.750 0.750

As for the energy relative to the elements, uncorrected: -1.008 eV/atom. The space-group type is F-43m (216). The total energy is -0.3027 Ry per atom.

***

Record 12
Here is a relaxed AcScCl4 crystal from Alexandria. Energies are from PBE-GGA.

a b c (Å): 8.521 8.521 6.528
angles (deg): 104.56 104.56 121.23
Fractional coordinates of all 12 atoms:
1 Ac 0.074 0.926 0.750
2 Ac 0.926 0.074 0.250
3 Sc 0.442 0.558 0.250
4 Sc 0.558 0.442 0.750
5 Cl 0.120 0.481 0.284
6 Cl 0.224 0.355 0.785
7 Cl 0.355 0.224 0.285
8 Cl 0.481 0.120 0.784
9 Cl 0.519 0.880 0.216
10 Cl 0.645 0.776 0.715
11 Cl 0.776 0.645 0.215
12 Cl 0.880 0.519 0.716

As for the energy relative to the elements, uncorrected: -1.851 eV/atom. For the density of states at the Fermi level, the calculation gives 2.26 states/eV/f.u. The space-group type is C2/c (15). The total energy is -0.3544 Ry per atom.

***

Record 13
Here is a relaxed AcSc2Cl crystal from Alexandria. Energies are from PBE-GGA.

a b c (Å): 3.595 3.595 29.163
angles (deg): 90.00 90.00 120.00
Fractional coordinates of all 12 atoms:
1 Ac 0.000 0.000 0.000
2 Ac 0.333 0.667 0.667
3 Ac 0.667 0.333 0.333
4 Sc 0.000 0.000 0.115
5 Sc 0.000 0.000 0.885
6 Sc 0.333 0.667 0.552
7 Sc 0.333 0.667 0.781
8 Sc 0.667 0.333 0.219
9 Sc 0.667 0.333 0.448
10 Cl 0.000 0.000 0.500
11 Cl 0.333 0.667 0.167
12 Cl 0.667 0.333 0.833

As for the energy relative to the elements, uncorrected: -0.268 eV/atom. For the density of states at the Fermi level, the calculation gives 4.30 states/eV/f.u. The space-group type is R-3m (166). The total energy is -0.3618 Ry per atom.